The following is a DFT calculation (PBE) of a relaxed CePuInTc crystal.

## Properties
Space-group type = F-43m (216)
DOS(E_F) = 5.68 states/eV/f.u.
V = 21.3 A^3/atom
Formation energy from the elements = -0.0282 eV/atom

a = 4.936 Å, b = 4.936 Å, c = 4.936 Å
α = 60.00°, β = 60.00°, γ = 60.00°
Fractional coordinates of all 4 atoms:
Ce 0.000 0.000 0.000
Pu 0.750 0.750 0.750
In 0.500 0.500 0.500
Tc 0.250 0.250 0.250



The following is a DFT calculation (PBE) of a relaxed CePuThIn crystal.

## Properties
Space-group type = F-43m (216)
DOS(E_F) = 14.12 states/eV/f.u.
V = 28.1 A^3/atom
Formation energy from the elements = 0.0489 eV/atom

a = 5.419 Å, b = 5.419 Å, c = 5.419 Å
α = 60.00°, β = 60.00°, γ = 60.00°
Fractional coordinates of all 4 atoms:
Ce 0.000 0.000 0.000
Pu 0.500 0.500 0.500
Th 0.750 0.750 0.750
In 0.250 0.250 0.250



The following is a DFT calculation (PBE) of a relaxed CePuTiIn crystal.

## Properties
Space-group type = F-43m (216)
DOS(E_F) = 10.43 states/eV/f.u.
V = 22.7 A^3/atom
Formation energy from the elements = 0.0334 eV/atom

a = 5.047 Å, b = 5.047 Å, c = 5.047 Å
α = 60.00°, β = 60.00°, γ = 60.00°
Fractional coordinates of all 4 atoms:
Ce 0.000 0.000 0.000
Pu 0.250 0.250 0.250
Ti 0.750 0.750 0.750
In 0.500 0.500 0.500



The following is a DFT calculation (PBE) of a relaxed CePuTlIn crystal.

## Properties
Space-group type = F-43m (216)
DOS(E_F) = 15.20 states/eV/f.u.
V = 28.5 A^3/atom
Formation energy from the elements = -0.1362 eV/atom

a = 5.445 Å, b = 5.445 Å, c = 5.445 Å
α = 60.00°, β = 60.00°, γ = 60.00°
Fractional coordinates of all 4 atoms:
Ce 0.000 0.000 0.000
Pu 0.500 0.500 0.500
Tl 0.250 0.250 0.250
In 0.750 0.750 0.750



The following is a DFT calculation (PBE) of a relaxed CePuTlIn crystal.

## Properties
Space-group type = Pmmm (47)
DOS(E_F) = 11.77 states/eV/f.u.
V = 26.9 A^3/atom
Formation energy from the elements = -0.2183 eV/atom

a = 4.694 Å, b = 4.706 Å, c = 4.869 Å
α = 90.00°, β = 90.00°, γ = 90.00°
Fractional coordinates of all 4 atoms:
Ce 0.000 0.000 0.000
Pu 0.500 0.500 0.000
Tl 0.500 0.000 0.500
In 0.000 0.500 0.500



The following is a DFT calculation (PBE) of a relaxed CeTmPuIn crystal.

## Properties
Space-group type = F-43m (216)
DOS(E_F) = 8.85 states/eV/f.u.
V = 26.6 A^3/atom
Formation energy from the elements = -0.0459 eV/atom

a = 5.319 Å, b = 5.319 Å, c = 5.319 Å
α = 60.00°, β = 60.00°, γ = 60.00°
Fractional coordinates of all 4 atoms:
Ce 0.000 0.000 0.000
Tm 0.750 0.750 0.750
Pu 0.250 0.250 0.250
In 0.500 0.500 0.500



The following is a DFT calculation (PBE) of a relaxed CeYPuIn crystal.

## Properties
Space-group type = F-43m (216)
DOS(E_F) = 8.32 states/eV/f.u.
V = 27.2 A^3/atom
Formation energy from the elements = -0.0524 eV/atom

a = 5.361 Å, b = 5.361 Å, c = 5.361 Å
α = 60.00°, β = 60.00°, γ = 60.00°
Fractional coordinates of all 4 atoms:
Ce 0.000 0.000 0.000
Y 0.250 0.250 0.250
Pu 0.750 0.750 0.750
In 0.500 0.500 0.500



The following is a DFT calculation (PBE) of a relaxed CePuZnIn crystal.

## Properties
Space-group type = F-43m (216)
DOS(E_F) = 12.14 states/eV/f.u.
V = 26.0 A^3/atom
Formation energy from the elements = -0.1333 eV/atom

a = 5.278 Å, b = 5.278 Å, c = 5.278 Å
α = 60.00°, β = 60.00°, γ = 60.00°
Fractional coordinates of all 4 atoms:
Ce 0.000 0.000 0.000
Pu 0.500 0.500 0.500
Zn 0.250 0.250 0.250
In 0.750 0.750 0.750



The following is a DFT calculation (PBE) of a relaxed CePuZnIn crystal.

## Properties
Space-group type = P4mm (99)
DOS(E_F) = 8.35 states/eV/f.u.
V = 23.7 A^3/atom
Formation energy from the elements = -0.1985 eV/atom

a = 3.180 Å, b = 3.180 Å, c = 9.385 Å
α = 90.00°, β = 90.00°, γ = 90.00°
Fractional coordinates of all 4 atoms:
Ce 0.000 0.000 0.000
Pu 0.000 0.000 0.536
Zn 0.500 0.500 0.768
In 0.500 0.500 0.270



The following is a DFT calculation (PBE) of a relaxed Rb3Ce3InS8 crystal.

## Properties
Space-group type = R-3m (166)
DOS(E_F) = 12.08 states/eV/f.u.
V = 30.6 A^3/atom
Uncorrected formation energy = -1.539 eV/atom

a = 9.137 Å, b = 9.137 Å, c = 9.137 Å
α = 53.67°, β = 53.67°, γ = 53.67°
Fractional coordinates of all 15 atoms:
Rb 0.000 0.500 0.500
Rb 0.500 0.000 0.500
Rb 0.500 0.500 0.000
Ce 0.000 0.000 0.500
Ce 0.000 0.500 0.000
Ce 0.500 0.000 0.000
In 0.500 0.500 0.500
S 0.231 0.231 0.231
S 0.238 0.724 0.724
S 0.276 0.276 0.762
S 0.276 0.762 0.276
S 0.724 0.238 0.724
S 0.724 0.724 0.238
S 0.762 0.276 0.276
S 0.769 0.769 0.769



The following is a DFT calculation (PBE) of a relaxed Rb3Ce2InS6 crystal.

## Properties
Space-group type = C2/m (12)
DOS(E_F) = 12.72 states/eV/f.u.
V = 29.1 A^3/atom
Uncorrected formation energy = -1.439 eV/atom

a = 7.284 Å, b = 7.284 Å, c = 7.987 Å
α = 98.71°, β = 98.71°, γ = 119.98°
Fractional coordinates of all 12 atoms:
Rb 0.000 0.000 0.000
Rb 0.336 0.664 0.000
Rb 0.664 0.336 0.000
Ce 0.167 0.833 0.500
Ce 0.833 0.167 0.500
In 0.500 0.500 0.500
S 0.100 0.436 0.307
S 0.228 0.228 0.692
S 0.436 0.100 0.307
S 0.564 0.900 0.693
S 0.772 0.772 0.308
S 0.900 0.564 0.693



The following is a DFT calculation (PBE) of a relaxed Rb2CeInS5 crystal.

## Properties
Space-group type = Cmc2_1 (36)
DOS(E_F) = 4.88 states/eV/f.u.
V = 31.9 A^3/atom
Uncorrected formation energy = -1.087 eV/atom

a = 10.003 Å, b = 10.003 Å, c = 14.431 Å
α = 90.00°, β = 90.00°, γ = 156.53°
Fractional coordinates of all 18 atoms:
Rb 0.115 0.885 0.500
Rb 0.139 0.861 0.133
Rb 0.861 0.139 0.633
Rb 0.885 0.115 0.000
Ce 0.205 0.795 0.840
Ce 0.795 0.205 0.340
In 0.443 0.557 0.253
In 0.557 0.443 0.753
S 0.055 0.945 0.857
S 0.293 0.707 0.461
S 0.315 0.685 0.209
S 0.339 0.661 0.823
S 0.498 0.502 0.607
S 0.502 0.498 0.107
S 0.661 0.339 0.323
S 0.685 0.315 0.709
S 0.707 0.293 0.961
S 0.945 0.055 0.357